# Cu2ReOs

Cu2ReOs after structural relaxation (PBE, Alexandria).

## Properties
**SG**: I-42d
**Distance to the lowest polymorph of the same formula**: 0.8812 eV/atom

Cell lengths 6.796, 6.796, 5.430 Å; angles 51.26, 51.26, 90.00 degrees
Fractional positions:
Os: 0.750 0.250 0.500
Os: 0.000 0.000 0.000
Cu: 0.375 0.374 0.750
Cu: 0.124 0.625 0.250
Cu: 0.875 0.876 0.750
Cu: 0.626 0.125 0.250
Re: 0.500 0.500 0.000
Re: 0.250 0.750 0.500

=====

# Cu2ReOs

Cu2ReOs after structural relaxation (PBE, Alexandria).

## Properties
**SG**: P4/mmm
**Distance to the lowest polymorph of the same formula**: 0.2476 eV/atom

Cell lengths 4.012, 3.672, 3.672 Å; angles 90.00, 90.00, 90.00 degrees
Fractional positions:
Cu: 0.000 0.000 0.000
Cu: 0.000 0.500 0.500
Re: 0.500 0.000 0.500
Os: 0.500 0.500 0.000

=====

# Cu2ReOs

Cu2ReOs after structural relaxation (PBE, Alexandria).

## Properties
**SG**: C2/m
**Distance to the lowest polymorph of the same formula**: 0.1089 eV/atom

Cell lengths 4.671, 4.671, 4.553 Å; angles 79.77, 79.77, 33.88 degrees
Fractional positions:
Re: 0.750 0.750 0.750
Os: 0.250 0.250 0.250
Cu: 0.501 0.501 0.500
Cu: 0.999 0.999 0.000

=====

# Cu2ReOs

Cu2ReOs after structural relaxation (PBE, Alexandria).

## Properties
**SG**: I-4m2
**Distance to the lowest polymorph of the same formula**: 0.0518 eV/atom

Cell lengths 4.562, 4.562, 4.562 Å; angles 130.66, 130.72, 72.31 degrees
Fractional positions:
Cu: 0.000 0.000 0.000
Cu: 0.750 0.250 0.500
Re: 0.250 0.750 0.500
Os: 0.500 0.500 0.000

=====

# Cu2ReOs

Cu2ReOs after structural relaxation (PBE, Alexandria).

## Properties
**SG**: Immm
**Distance to the lowest polymorph of the same formula**: 0.2177 eV/atom

Cell lengths 5.210, 5.210, 5.210 Å; angles 149.36, 129.27, 60.44 degrees
Fractional positions:
Re: 0.250 0.750 0.500
Os: 0.750 0.250 0.500
Cu: 0.999 0.999 0.000
Cu: 0.501 0.501 0.000

=====

# Cu2ReOs

Cu2ReOs after structural relaxation (PBE, Alexandria).

## Properties
**SG**: R-3m
**Distance to the lowest polymorph of the same formula**: 0.1299 eV/atom

Cell lengths 8.896, 8.896, 8.896 Å; angles 17.33, 17.33, 17.33 degrees
Last column: magnetic moment on the atom in μB.
Fractional positions:
Cu: 0.000 0.000 0.000  0.01
Cu: 0.500 0.500 0.500  0.01
Os: 0.250 0.250 0.250  0.04
Re: 0.750 0.750 0.750  0.21

=====

# CuReOs3

CuReOs3 after structural relaxation (PBE, Alexandria).

## Properties
**SG**: Pm-3m
**Distance to the lowest polymorph of the same formula**: 0.2521 eV/atom

Cell lengths 4.704, 4.704, 4.704 Å; angles 90.00, 90.00, 90.00 degrees
Last column: magnetic moment on the atom in μB.
Fractional positions:
Os: 0.000 0.000 0.500  0.46
Os: 0.000 0.500 0.000  0.54
Os: 0.500 0.000 0.000  0.50
Re: 0.000 0.000 0.000  -0.11
Cu: 0.500 0.500 0.500  0.04

=====

# Cu2ReOs

Cu2ReOs after structural relaxation (PBE, Alexandria).

## Properties
**SG**: Cm
**Distance to the lowest polymorph of the same formula**: 0.0499 eV/atom

Cell lengths 4.618, 4.618, 4.651 Å; angles 81.65, 81.65, 33.57 degrees
Fractional positions:
Cu: 0.999 0.999 0.023
Cu: 0.249 0.249 0.226
Re: 0.751 0.751 0.729
Os: 0.501 0.501 0.521